i:
This record from the Alexandria database describes an optimized crystal structure of HfTl2Sn. The functional is PBE-GGA.

space group: R-3m, No. 166
calculated density: 10.5 Mg/m³
magnetic moment: 0.00 μB per cell

POSCAR file:
```
HfTl2Sn
1.0
-0.8619 2.8837 1.3003
-3.1235 0.5579 0.8256
0.7967 -3.1531 11.6544
Tl Hf Sn
2 1 1
direct
0.0836 0.0836 0.7491
0.9164 0.9164 0.2509
0.0000 0.0000 0.0000
0.5000 0.5000 0.5000
```

***

ii:
This record from the Alexandria database describes an optimized crystal structure of HfTl2Sn. The functional is PBE-GGA.

space group: Fm-3m, No. 225
calculated density: 11.2 Mg/m³
magnetic moment: 0.00 μB per cell

POSCAR file:
```
HfTl2Sn
1.0
-2.6193 0.5448 4.5685
-4.1071 3.3257 0.3162
-4.9172 -1.9037 0.4754
Tl Hf Sn
2 1 1
direct
0.2500 0.2500 0.2500
0.7500 0.7500 0.7500
0.5000 0.5000 0.5000
0.0000 0.0000 0.0000
```

***

i is the most stable structure; the next one sits 9.5 kJ/mol of atoms above it.

***

i:
This record from the Alexandria database describes an optimized crystal structure of Hf3TlSn. The functional is PBE-GGA.

space group: Ama2, No. 40
calculated density: 11.8 Mg/m³
magnetic moment: 0.00 μB per cell

POSCAR file:
```
Hf3TlSn
1.0
5.2342 0.3094 0.0000
-1.6791 4.9672 0.0000
0.0000 0.0000 9.1080
Hf Tl Sn
6 2 2
direct
0.3106 0.6419 0.5780
0.3106 0.6419 0.9220
0.1239 0.2235 0.2500
0.6419 0.3106 0.0780
0.6419 0.3106 0.4220
0.2235 0.1239 0.7500
0.4350 0.7815 0.2500
0.7815 0.4350 0.7500
0.8845 0.8845 0.5000
0.8845 0.8845 0.0000
```

***

ii:
This record from the Alexandria database describes an optimized crystal structure of Hf3TlSn. The functional is PBE-GGA.

space group: Pm-3m, No. 221
calculated density: 9.9 Mg/m³
magnetic moment: 0.00 μB per cell

POSCAR file:
```
Hf3TlSn
1.0
5.2446 0.0000 0.0000
0.0000 5.2446 0.0000
0.0000 0.0000 5.2446
Tl Hf Sn
1 3 1
direct
0.5000 0.5000 0.5000
0.0000 0.5000 0.0000
0.0000 0.0000 0.5000
0.5000 0.0000 0.0000
0.0000 0.0000 0.0000
```

***

i is the most stable structure; the next one sits 73.5 kJ/mol of atoms above it.

***

i:
This record from the Alexandria database describes an optimized crystal structure of HfUSn2. The functional is PBE-GGA.

space group: R-3m, No. 166
calculated density: 10.9 Mg/m³
magnetic moment: 3.00 μB per cell

POSCAR file:
```
HfUSn2
1.0
3.1614 0.0000 0.0000
1.5807 2.7379 0.0000
1.5807 0.9126 11.4757
Hf U Sn
1 1 2
direct
0.5000 0.5000 0.5000
0.0000 0.0000 0.0000
0.0929 0.0929 0.7214
0.9071 0.9071 0.2786
```

***

ii:
This record from the Alexandria database describes an optimized crystal structure of HfUSn2. The functional is PBE-GGA.

space group: P4/mmm, No. 123
calculated density: 11.4 Mg/m³
magnetic moment: 2.66 μB per cell

POSCAR file:
```
HfUSn2
1.0
4.3493 0.0000 0.0000
0.0000 4.6790 0.0000
0.0000 0.0000 4.6790
Hf U Sn
1 1 2
direct
0.5000 0.5000 0.5000
0.5000 0.0000 0.0000
0.0000 0.0000 0.5000
0.0000 0.5000 0.0000
```

***

ii is the most stable structure; the next one sits 20.9 kJ/mol of atoms above it.

***

i:
This record from the Alexandria database describes an optimized crystal structure of HfVSn2. The functional is PBE-GGA.

space group: I-42d, No. 122
calculated density: 8.8 Mg/m³
magnetic moment: 2.79 μB per cell

POSCAR file:
```
HfVSn2
1.0
7.6657 0.0000 0.0000
0.0000 7.6657 0.0000
3.8329 3.8329 2.9951
Hf Sn V
2 4 2
direct
0.0000 0.0000 0.0000
0.7500 0.2500 0.5000
0.6041 0.1250 0.2500
0.1459 0.6250 0.2500
0.3750 0.3959 0.7500
0.8750 0.8541 0.7500
0.5000 0.5000 0.0000
0.2500 0.7500 0.5000
```

***

ii:
This record from the Alexandria database describes an optimized crystal structure of HfVSn2. The functional is PBE-GGA.

space group: R-3m, No. 166
calculated density: 8.8 Mg/m³
magnetic moment: 0.01 μB per cell

POSCAR file:
```
HfVSn2
1.0
3.1284 0.0000 0.0000
1.5642 2.7093 0.0000
1.5642 0.9031 10.3835
Hf Sn V
1 2 1
direct
0.0000 0.0000 0.0000
0.0954 0.0954 0.7137
0.9046 0.9046 0.2863
0.5000 0.5000 0.5000
```

***

iii:
This record from the Alexandria database describes an optimized crystal structure of HfVSn2. The functional is PBE-GGA.

space group: Fm-3m, No. 225
calculated density: 9.4 Mg/m³
magnetic moment: 1.59 μB per cell

POSCAR file:
```
HfVSn2
1.0
0.0000 3.4510 3.4510
3.4510 0.0000 3.4510
3.4510 3.4510 0.0000
Hf Sn V
1 2 1
direct
0.5000 0.5000 0.5000
0.2500 0.2500 0.2500
0.7500 0.7500 0.7500
0.0000 0.0000 0.0000
```

***

iii is the most stable structure; the next one sits 12.0 kJ/mol of atoms above it.